Here is crystalline CsBW2O at its relaxed geometry from the Alexandria database. Energies are from PBE with a Hubbard U.

Properties
Calculated total energy (eV per cell): -20.21
M_tot (μB/atom): 1.276

Cell: 4.454 6.176 4.454 Å, 90.00 90.00 90.00°
Last column: magnetic moment on the atom in μB.
Fractional positions:
W1 0.500 0.000 0.000  3.12
W2 0.000 0.000 0.500  3.15
O1 0.000 0.000 0.000  0.08
B1 0.500 0.500 0.500  -0.41
Cs1 0.000 0.500 0.000  -0.03